(1)
Density functional theory data (GGA-PBE) for CaPrSb after structural relaxation.

## Properties
For the uncorrected formation energy, the calculation gives -1.966 eV per formula unit. Its total DFT energy (no corrections) is -12.87 eV per cell.

Unit cell a=5.2660 b=5.2660 c=5.2660 alpha=60.00 beta=60.00 gamma=60.00
With the nearest neighbours (Å) after each atom.
Fractional coordinates of all 3 atoms:
Ca: 0.0000 0.0000 0.0000  4 Sb 3.22
Pr: 0.5000 0.5000 0.5000  4 Sb 3.22
Sb: 0.2500 0.2500 0.2500  4 Pr 3.22, 4 Ca 3.22

=====

(2)
Density functional theory data (GGA-PBE) for CaPr2Sb after structural relaxation.

## Properties
For the uncorrected formation energy, the calculation gives -1.619 eV per formula unit. The value obtained for the offset from the most stable computed form is 0.108 eV/atom. Its total DFT energy (no corrections) is -17.30 eV per cell.

Unit cell a=10.2454 b=10.2454 c=10.2454 alpha=24.03 beta=24.03 gamma=24.03
With the nearest neighbours (Å) after each atom.
Fractional coordinates of all 4 atoms:
Ca: 0.0000 0.0000 0.0000  6 Pr 3.92, 6 Ca 4.27
Pr: 0.2309 0.2309 0.2309  3 Sb 3.12
Pr: 0.7691 0.7691 0.7691  3 Sb 3.12
Sb: 0.5000 0.5000 0.5000  6 Pr 3.12

=====

(3)
Density functional theory data (GGA-PBE) for CaPrSb after structural relaxation.

## Properties
For the uncorrected formation energy, the calculation gives -1.776 eV per formula unit. Its total DFT energy (no corrections) is -12.68 eV per cell.

Unit cell a=6.1716 b=6.1716 c=6.1716 alpha=140.63 beta=140.63 gamma=56.90
With the nearest neighbours (Å) after each atom.
Fractional coordinates of all 3 atoms:
Ca: 0.0000 0.0000 0.0000  5 Pr 3.26-3.65, 4 Sb 3.35
Pr: 0.6996 0.6996 0.0000  5 Ca 3.26-3.65, 4 Sb 3.37
Sb: 0.3513 0.3513 0.0000  4 Ca 3.35, 4 Pr 3.37

=====

(4)
Density functional theory data (GGA-PBE) for CaPr2SmSb4 after structural relaxation.

## Properties
For the uncorrected formation energy, the calculation gives -8.526 eV per formula unit. Its total DFT energy (no corrections) is -41.30 eV per cell.

Unit cell a=7.8333 b=4.5266 c=7.8806 alpha=90.00 beta=109.45 gamma=90.00
With the nearest neighbours (Å) after each atom.
Fractional coordinates of all 8 atoms:
Ca: 0.0000 0.0000 0.0000  6 Sb 3.20
Pr: 0.5000 0.0000 0.5000  6 Sb 3.21
Pr: 0.5000 0.5000 0.0000  6 Sb 3.23
Sm: 0.0000 0.5000 0.5000  6 Sb 3.18
Sb: 0.2458 0.0000 0.7468  2 Sm 3.18, 1 Ca 3.20, 3 Pr 3.21-3.23
Sb: 0.2477 0.5000 0.2517  1 Sm 3.18, 2 Ca 3.20, 3 Pr 3.21-3.23
Sb: 0.7523 0.5000 0.7483  1 Sm 3.18, 2 Ca 3.20, 3 Pr 3.21-3.23
Sb: 0.7542 0.0000 0.2532  2 Sm 3.18, 1 Ca 3.20, 3 Pr 3.21-3.23

=====

(5)
Density functional theory data (GGA-PBE) for CaTb2PrSb4 after structural relaxation.

## Properties
For the uncorrected formation energy, the calculation gives -8.308 eV per formula unit. Its total DFT energy (no corrections) is -40.84 eV per cell.

Unit cell a=7.7436 b=6.3245 c=7.7458 alpha=65.88 beta=48.20 gamma=65.92
With the nearest neighbours (Å) after each atom.
Fractional coordinates of all 8 atoms:
Ca: 0.0000 0.0000 0.0000  6 Sb 3.16-3.17
Tb: 0.2505 0.2505 0.2495  6 Sb 3.16
Tb: 0.7505 0.7505 0.7495  6 Sb 3.16
Pr: 0.5001 0.5001 0.4999  6 Sb 3.16
Sb: 0.0002 0.5000 0.9998  2 Tb 3.16, 2 Pr 3.16, 2 Ca 3.16
Sb: 0.2509 0.7502 0.2498  1 Pr 3.16, 4 Tb 3.16, 1 Ca 3.17
Sb: 0.5000 0.0002 0.5000  2 Tb 3.16, 2 Pr 3.16, 2 Ca 3.16
Sb: 0.7502 0.2509 0.7491  1 Pr 3.16, 4 Tb 3.16, 1 Ca 3.17

=====

(6)
Density functional theory data (GGA-PBE) for CaTbPr2Sb4 after structural relaxation.

## Properties
For the uncorrected formation energy, the calculation gives -8.458 eV per formula unit. Its total DFT energy (no corrections) is -41.14 eV per cell.

Unit cell a=7.7752 b=4.5120 c=7.8675 alpha=90.00 beta=109.49 gamma=90.00
With the nearest neighbours (Å) after each atom.
Fractional coordinates of all 8 atoms:
Ca: 0.0000 0.0000 0.0000  6 Sb 3.19
Tb: 0.0000 0.5000 0.5000  6 Sb 3.15
Pr: 0.5000 0.0000 0.5000  6 Sb 3.20
Pr: 0.5000 0.5000 0.0000  6 Sb 3.24
Sb: 0.2423 0.0000 0.7439  2 Tb 3.15, 1 Ca 3.19, 3 Pr 3.20-3.24
Sb: 0.2456 0.5000 0.2529  1 Tb 3.15, 2 Ca 3.19, 3 Pr 3.20-3.24
Sb: 0.7544 0.5000 0.7471  1 Tb 3.15, 2 Ca 3.19, 3 Pr 3.20-3.24
Sb: 0.7577 0.0000 0.2561  2 Tb 3.15, 1 Ca 3.19, 3 Pr 3.20-3.24

=====

(7)
Density functional theory data (GGA-PBE) for CaPrSbTe after structural relaxation.

## Properties
For the uncorrected formation energy, the calculation gives -5.386 eV per formula unit. Its total DFT energy (no corrections) is -19.43 eV per cell.

Unit cell a=7.8959 b=7.8959 c=7.8959 alpha=33.61 beta=33.61 gamma=33.61
With the nearest neighbours (Å) after each atom.
Fractional coordinates of all 4 atoms:
Ca: 0.0000 0.0000 0.0000  3 Sb 3.19, 3 Te 3.25
Pr: 0.4924 0.4924 0.4924  3 Sb 3.16, 3 Te 3.30
Sb: 0.7474 0.7474 0.7474  3 Pr 3.16, 3 Ca 3.19
Te: 0.2480 0.2480 0.2480  3 Ca 3.25, 3 Pr 3.30

=====

(8)
Density functional theory data (GGA-PBE) for CaPrTh2Sb4 after structural relaxation.

## Properties
For the uncorrected formation energy, the calculation gives -8.274 eV per formula unit. Its total DFT energy (no corrections) is -46.38 eV per cell.

Unit cell a=7.8343 b=4.5333 c=7.8517 alpha=90.00 beta=109.51 gamma=90.00
With the nearest neighbours (Å) after each atom.
Fractional coordinates of all 8 atoms:
Ca: 0.0000 0.0000 0.0000  6 Sb 3.21-3.22
Pr: 0.0000 0.5000 0.5000  6 Sb 3.22-3.23
Th: 0.5000 0.0000 0.5000  6 Sb 3.19-3.20
Th: 0.5000 0.5000 0.0000  6 Sb 3.18-3.19
Sb: 0.2528 0.0000 0.7522  3 Th 3.19-3.20, 1 Ca 3.21, 2 Pr 3.22
Sb: 0.2538 0.5000 0.2503  3 Th 3.18-3.19, 2 Ca 3.22, 1 Pr 3.23
Sb: 0.7462 0.5000 0.7497  3 Th 3.18-3.19, 2 Ca 3.22, 1 Pr 3.23
Sb: 0.7472 0.0000 0.2478  3 Th 3.19-3.20, 1 Ca 3.21, 2 Pr 3.22

=====

(9)
Density functional theory data (GGA-PBE) for Ca2PrUSb4 after structural relaxation.

## Properties
For the uncorrected formation energy, the calculation gives -6.280 eV per formula unit. Its total DFT energy (no corrections) is -42.84 eV per cell.

Unit cell a=7.7560 b=4.5321 c=7.8034 alpha=90.00 beta=109.68 gamma=90.00
With the nearest neighbours (Å) after each atom.
Fractional coordinates of all 8 atoms:
Ca: 0.0000 0.0000 0.0000  6 Sb 3.18
Ca: 0.0000 0.5000 0.5000  6 Sb 3.29-3.31
Pr: 0.5000 0.0000 0.5000  6 Sb 3.19-3.20
U: 0.5000 0.5000 0.0000  6 Sb 3.05-3.09
Sb: 0.2592 0.5000 0.2388  1 U 3.05, 3 Ca 3.18-3.31, 2 Pr 3.20
Sb: 0.2653 0.0000 0.7663  2 U 3.09, 3 Ca 3.18-3.29, 1 Pr 3.19
Sb: 0.7347 0.0000 0.2337  2 U 3.09, 3 Ca 3.18-3.29, 1 Pr 3.19
Sb: 0.7408 0.5000 0.7612  1 U 3.05, 3 Ca 3.18-3.31, 2 Pr 3.20

=====

(10)
Density functional theory data (GGA-PBE) for CaPrY2Sb4 after structural relaxation.

## Properties
For the uncorrected formation energy, the calculation gives -8.390 eV per formula unit. Its total DFT energy (no corrections) is -44.59 eV per cell.

Unit cell a=7.7349 b=6.3177 c=7.7347 alpha=65.90 beta=48.21 gamma=65.89
With the nearest neighbours (Å) after each atom.
Fractional coordinates of all 8 atoms:
Ca: 0.0000 0.0000 0.0000  6 Sb 3.16
Pr: 0.5006 0.5006 0.4994  6 Sb 3.15-3.16
Y: 0.2505 0.2505 0.2495  6 Sb 3.16
Y: 0.7505 0.7505 0.7495  6 Sb 3.16
Sb: 0.0006 0.5000 0.9994  2 Y 3.16, 2 Pr 3.16, 2 Ca 3.16
Sb: 0.2507 0.7502 0.2498  1 Pr 3.15, 4 Y 3.16, 1 Ca 3.16
Sb: 0.5000 0.0006 0.5000  2 Y 3.16, 2 Pr 3.16, 2 Ca 3.16
Sb: 0.7502 0.2507 0.7493  1 Pr 3.15, 4 Y 3.16, 1 Ca 3.16

=====

(11)
Density functional theory data (GGA-PBE) for CaPr2YSb4 after structural relaxation.

## Properties
For the uncorrected formation energy, the calculation gives -8.493 eV per formula unit. Its total DFT energy (no corrections) is -43.01 eV per cell.

Unit cell a=7.7646 b=4.5093 c=7.8690 alpha=90.00 beta=109.49 gamma=90.00
With the nearest neighbours (Å) after each atom.
Fractional coordinates of all 8 atoms:
Ca: 0.0000 0.0000 0.0000  6 Sb 3.18-3.19
Pr: 0.5000 0.0000 0.5000  6 Sb 3.19-3.20
Pr: 0.5000 0.5000 0.0000  6 Sb 3.24
Y: 0.0000 0.5000 0.5000  6 Sb 3.14
Sb: 0.2420 0.0000 0.7435  2 Y 3.14, 1 Ca 3.18, 3 Pr 3.20-3.24
Sb: 0.2453 0.5000 0.2530  1 Y 3.14, 2 Ca 3.19, 3 Pr 3.19-3.24
Sb: 0.7547 0.5000 0.7470  1 Y 3.14, 2 Ca 3.19, 3 Pr 3.19-3.24
Sb: 0.7580 0.0000 0.2565  2 Y 3.14, 1 Ca 3.18, 3 Pr 3.20-3.24

=====

(12)
Density functional theory data (GGA-PBE) for CaPr14Sc after structural relaxation.

## Properties
For the formation enthalpy at 0 K, the calculation gives 0.031 eV/atom. Its total DFT energy (no corrections) is -74.75 eV per cell.

Unit cell a=7.4044 b=7.4044 c=10.3714 alpha=90.00 beta=90.00 gamma=90.00
With the nearest neighbours (Å) after each atom.
Fractional coordinates of all 16 atoms:
Ca: 0.0000 0.0000 0.0000  12 Pr 3.70-3.72
Pr: 0.0000 0.0000 0.5000  12 Pr 3.70-3.74
Pr: 0.0000 0.5000 0.0000  8 Pr 3.67, 2 Sc 3.70, 2 Ca 3.70
Pr: 0.0000 0.5000 0.5000  12 Pr 3.70
Pr: 0.2559 0.2559 0.2484  10 Pr 3.62-3.79, 1 Sc 3.63, 1 Ca 3.72
Pr: 0.2559 0.2559 0.7516  10 Pr 3.62-3.79, 1 Sc 3.63, 1 Ca 3.72
Pr: 0.2559 0.7441 0.2484  10 Pr 3.62-3.79, 1 Sc 3.63, 1 Ca 3.72
Pr: 0.2559 0.7441 0.7516  10 Pr 3.62-3.79, 1 Sc 3.63, 1 Ca 3.72
Pr: 0.5000 0.0000 0.0000  8 Pr 3.67, 2 Sc 3.70, 2 Ca 3.70
Pr: 0.5000 0.0000 0.5000  12 Pr 3.70
Pr: 0.5000 0.5000 0.5000  12 Pr 3.65-3.70
Pr: 0.7441 0.2559 0.2484  10 Pr 3.62-3.79, 1 Sc 3.63, 1 Ca 3.72
Pr: 0.7441 0.2559 0.7516  10 Pr 3.62-3.79, 1 Sc 3.63, 1 Ca 3.72
Pr: 0.7441 0.7441 0.2484  10 Pr 3.62-3.79, 1 Sc 3.63, 1 Ca 3.72
Pr: 0.7441 0.7441 0.7516  10 Pr 3.62-3.79, 1 Sc 3.63, 1 Ca 3.72
Sc: 0.5000 0.5000 0.0000  12 Pr 3.63-3.70